The following is a DFT calculation (PBE-GGA) of an optimized crystal structure of SrErU.

Cell lengths 5.565, 5.565, 5.565 Å; angles 60.00, 60.00, 60.00 degrees
Fractional coordinates of all 3 atoms:
Er 0.000 0.000 0.000
Sr 0.250 0.250 0.250
U 0.750 0.750 0.750

Calculated values
* symmetry: No. 216
* excess energy over the best structure of this formula in the dataset: 0.8520 eV/atom